[1]
15
Lattice="3.863 2.230 6.748 -3.863 2.230 6.748 0.000 -4.461 6.748" Properties=species:S:1:pos:R:3 comment="Na3Ho3SiS8 GGA-PBE relaxed" formation_energy_uncorrected_ev_per_atom=-1.5180 crystal_system=trigonal pbc="T T T"
Na -1.932 -1.115 6.748
Na -1.932 1.115 13.496
Na 0.000 2.230 6.748
Ho -3.863 0.000 10.122
Ho -1.932 1.115 3.374
Ho 1.932 1.115 3.374
Si 0.000 0.000 10.122
S 0.000 0.000 4.898
S -1.696 -0.979 11.499
S 0.000 -1.958 8.745
S -1.696 0.979 8.745
S 1.696 -0.979 11.499
S 0.000 1.958 11.499
S 1.696 0.979 8.745
S 0.000 0.000 15.345

[2]
3
Lattice="0.000 3.529 3.529 3.529 0.000 3.529 3.529 3.529 0.000" Properties=species:S:1:pos:R:3 comment="LaReHg GGA-PBE relaxed" crystal_system=cubic e_form_ev_per_atom=1.26 e_above_lowest_polymorph_ev_per_atom=0.718 pbc="T T T"
La 0.000 0.000 0.000
Re 5.293 5.293 5.293
Hg 1.764 1.764 1.764

[3]
4
Lattice="2.942 0.000 0.000 0.000 4.472 0.000 0.000 0.000 5.896" Properties=species:S:1:pos:R:3 comment="ZrTaCl2 GGA-PBE relaxed" formation_energy_uncorrected_ev_per_atom=-0.1584 crystal_system=orthorhombic e_above_lowest_polymorph_ev_per_atom=0.719 pbc="T T T"
Zr 0.000 0.000 0.000
Ta 1.471 0.000 2.948
Cl 0.000 2.236 2.948
Cl 1.471 2.236 0.000

Number 1: total magnetic moment 0.0 μB per formula unit, uncorrected energy -5.2602 eV/atom. Number 2: total magnetic moment 2.0 μB per formula unit, uncorrected energy -4.6357 eV/atom. Number 3: total magnetic moment 0.0 μB per formula unit, uncorrected energy -6.1819 eV/atom.